Run i
# Hf2InAs PBE-GGA optimized geometry
data_Hf2InAs
_cell_length_a 3.6233
_cell_length_b 3.6233
_cell_length_c 23.0934
_cell_angle_alpha 90.00
_cell_angle_beta 90.00
_cell_angle_gamma 120.00
_space_group_name_H-M_alt 'R -3 m'
_space_group_IT_number 166
_space_group_name_Hall '-R 3 2"'
loop_
_atom_site_label
_atom_site_fract_x
_atom_site_fract_y
_atom_site_fract_z
Hf1 0.0000 0.0000 0.2354
In1 0.0000 0.0000 0.0000
As1 0.0000 0.0000 0.5000
# volume = 263 Å³ per cell

***

Run ii
# Hf2InAs PBE-GGA optimized geometry
data_Hf2InAs
_cell_length_a 3.5962
_cell_length_b 3.5962
_cell_length_c 23.4960
_cell_angle_alpha 90.00
_cell_angle_beta 90.00
_cell_angle_gamma 120.00
_space_group_name_H-M_alt 'R 3 m'
_space_group_IT_number 160
_space_group_name_Hall 'R 3 -2"'
loop_
_atom_site_label
_atom_site_fract_x
_atom_site_fract_y
_atom_site_fract_z
Hf1 0.0000 0.0000 0.0000
Hf2 0.0000 0.0000 0.1968
In1 0.0000 0.0000 0.4311
As1 0.0000 0.0000 0.5988
# volume = 263 Å³ per cell

***

Run iii
# Hf2InAs PBE-GGA optimized geometry
data_Hf2InAs
_cell_length_a 5.868
_cell_length_b 5.868
_cell_length_c 13.976
_cell_angle_alpha 90.00
_cell_angle_beta 90.00
_cell_angle_gamma 90.00
_space_group_name_H-M_alt 'I -4 2 d'
_space_group_IT_number 122
_space_group_name_Hall 'I -4 2bw'
loop_
_atom_site_label
_atom_site_fract_x
_atom_site_fract_y
_atom_site_fract_z
Hf1 0.214 0.250 0.125
In1 0.000 0.000 0.500
As1 0.000 0.000 0.000
# volume = 481 Å³ per cell

***

Pick run ii: it beats the second-best structure by 20 meV/atom.

***

Run i
# HfInAsSe2 PBE-GGA optimized geometry
data_HfInAsSe2
_cell_length_a 5.455
_cell_length_b 5.455
_cell_length_c 5.492
_cell_angle_alpha 90.00
_cell_angle_beta 90.00
_cell_angle_gamma 90.00
_space_group_name_H-M_alt 'P 4/m m m'
_space_group_IT_number 123
_space_group_name_Hall '-P 4 2'
loop_
_atom_site_label
_atom_site_fract_x
_atom_site_fract_y
_atom_site_fract_z
Hf1 0.000 0.000 0.000
In1 0.500 0.500 0.500
As1 0.500 0.500 0.000
Se1 0.000 0.500 0.500
# volume = 163 Å³ per cell

***

Run ii
# HfInAsSe2 PBE-GGA optimized geometry
data_HfInAsSe2
_cell_length_a 5.402
_cell_length_b 5.402
_cell_length_c 6.247
_cell_angle_alpha 90.00
_cell_angle_beta 90.00
_cell_angle_gamma 90.00
_space_group_name_H-M_alt 'P 4/m m m'
_space_group_IT_number 123
_space_group_name_Hall '-P 4 2'
loop_
_atom_site_label
_atom_site_fract_x
_atom_site_fract_y
_atom_site_fract_z
Hf1 0.000 0.000 0.000
In1 0.500 0.500 0.500
As1 0.000 0.000 0.500
Se1 0.000 0.500 0.000
# volume = 182 Å³ per cell

***

Pick run ii: it beats the second-best structure by 934 meV/atom.

***

Run i
# HfAs2IrSe PBE-GGA optimized geometry
data_HfAs2IrSe
_cell_length_a 4.715
_cell_length_b 4.715
_cell_length_c 5.074
_cell_angle_alpha 90.00
_cell_angle_beta 90.00
_cell_angle_gamma 90.00
_space_group_name_H-M_alt 'P 4/m m m'
_space_group_IT_number 123
_space_group_name_Hall '-P 4 2'
loop_
_atom_site_label
_atom_site_fract_x
_atom_site_fract_y
_atom_site_fract_z
Hf1 0.000 0.000 0.000
As1 0.000 0.500 0.500
Ir1 0.500 0.500 0.500
Se1 0.500 0.500 0.000
# volume = 113 Å³ per cell

***

Run ii
# HfAs2IrSe PBE-GGA optimized geometry
data_HfAs2IrSe
_cell_length_a 5.087
_cell_length_b 5.087
_cell_length_c 4.967
_cell_angle_alpha 90.00
_cell_angle_beta 90.00
_cell_angle_gamma 90.00
_space_group_name_H-M_alt 'P 4/m m m'
_space_group_IT_number 123
_space_group_name_Hall '-P 4 2'
loop_
_atom_site_label
_atom_site_fract_x
_atom_site_fract_y
_atom_site_fract_z
Hf1 0.000 0.000 0.000
As1 0.000 0.500 0.000
Ir1 0.500 0.500 0.500
Se1 0.000 0.000 0.500
# volume = 129 Å³ per cell

***

Pick run i: it beats the second-best structure by 400 meV/atom.

***

Run i
# KHfAs2 PBE-GGA optimized geometry
data_KHfAs2
_cell_length_a 7.060
_cell_length_b 7.060
_cell_length_c 7.060
_cell_angle_alpha 90.00
_cell_angle_beta 90.00
_cell_angle_gamma 90.00
_space_group_name_H-M_alt 'F m -3 m'
_space_group_IT_number 225
_space_group_name_Hall '-F 4 2 3'
loop_
_atom_site_label
_atom_site_fract_x
_atom_site_fract_y
_atom_site_fract_z
K1 0.000 0.000 0.000
Hf1 0.000 0.000 0.500
As1 0.250 0.250 0.250
# volume = 352 Å³ per cell

***

Run ii
# KHfAs2 PBE-GGA optimized geometry
data_KHfAs2
_cell_length_a 4.0053
_cell_length_b 4.0053
_cell_length_c 22.9838
_cell_angle_alpha 90.00
_cell_angle_beta 90.00
_cell_angle_gamma 120.00
_space_group_name_H-M_alt 'R -3 m'
_space_group_IT_number 166
_space_group_name_Hall '-R 3 2"'
loop_
_atom_site_label
_atom_site_fract_x
_atom_site_fract_y
_atom_site_fract_z
K1 0.0000 0.0000 0.0000
Hf1 0.0000 0.0000 0.5000
As1 0.0000 0.0000 0.2292
# volume = 319 Å³ per cell

***

Run iii
# KHfAs2 PBE-GGA optimized geometry
data_KHfAs2
_cell_length_a 3.8000
_cell_length_b 3.8000
_cell_length_c 24.7469
_cell_angle_alpha 90.00
_cell_angle_beta 90.00
_cell_angle_gamma 120.00
_space_group_name_H-M_alt 'R 3 m'
_space_group_IT_number 160
_space_group_name_Hall 'R 3 -2"'
loop_
_atom_site_label
_atom_site_fract_x
_atom_site_fract_y
_atom_site_fract_z
K1 0.0000 0.0000 0.0000
Hf1 0.0000 0.0000 0.1690
As1 0.0000 0.0000 0.5676
As2 0.0000 0.0000 0.7688
# volume = 309 Å³ per cell

***

Pick run ii: it beats the second-best structure by 6 meV/atom.

***

Run i
# KHf3As PBE-GGA optimized geometry
data_KHf3As
_cell_length_a 5.152
_cell_length_b 5.152
_cell_length_c 5.152
_cell_angle_alpha 90.00
_cell_angle_beta 90.00
_cell_angle_gamma 90.00
_space_group_name_H-M_alt 'P m -3 m'
_space_group_IT_number 221
_space_group_name_Hall '-P 4 2 3'
loop_
_atom_site_label
_atom_site_fract_x
_atom_site_fract_y
_atom_site_fract_z
K1 0.000 0.000 0.000
Hf1 0.000 0.500 0.500
As1 0.500 0.500 0.500
# volume = 137 Å³ per cell

***

Run ii
# KHf3As PBE-GGA optimized geometry
data_KHf3As
_cell_length_a 4.911
_cell_length_b 4.911
_cell_length_c 4.911
_cell_angle_alpha 90.00
_cell_angle_beta 90.00
_cell_angle_gamma 90.00
_space_group_name_H-M_alt 'P m -3 m'
_space_group_IT_number 221
_space_group_name_Hall '-P 4 2 3'
loop_
_atom_site_label
_atom_site_fract_x
_atom_site_fract_y
_atom_site_fract_z
K1 0.000 0.000 0.000
Hf1 0.000 0.000 0.500
As1 0.500 0.500 0.500
# volume = 118 Å³ per cell

***

Pick run i: it beats the second-best structure by 1605 meV/atom.

***

Run i
# KHf2As2 PBE-GGA optimized geometry
data_KHf2As2
_cell_length_a 5.120
_cell_length_b 5.120
_cell_length_c 10.008
_cell_angle_alpha 90.00
_cell_angle_beta 90.00
_cell_angle_gamma 90.00
_space_group_name_H-M_alt 'I 4/m m m'
_space_group_IT_number 139
_space_group_name_Hall '-I 4 2'
loop_
_atom_site_label
_atom_site_fract_x
_atom_site_fract_y
_atom_site_fract_z
K1 0.000 0.000 0.000
Hf1 0.000 0.000 0.336
As1 0.000 0.500 0.250
# volume = 262 Å³ per cell

***

Run ii
# KHf2As2 PBE-GGA optimized geometry
data_KHf2As2
_cell_length_a 4.480
_cell_length_b 4.480
_cell_length_c 14.078
_cell_angle_alpha 90.00
_cell_angle_beta 90.00
_cell_angle_gamma 90.00
_space_group_name_H-M_alt 'I 4/m m m'
_space_group_IT_number 139
_space_group_name_Hall '-I 4 2'
loop_
_atom_site_label
_atom_site_fract_x
_atom_site_fract_y
_atom_site_fract_z
K1 0.000 0.000 0.000
Hf1 0.000 0.500 0.250
As1 0.000 0.000 0.355
# volume = 283 Å³ per cell

***

Pick run ii: it beats the second-best structure by 304 meV/atom.

***

Run i
# K3HfAs PBE-GGA optimized geometry
data_K3HfAs
_cell_length_a 6.342
_cell_length_b 6.342
_cell_length_c 6.342
_cell_angle_alpha 90.00
_cell_angle_beta 90.00
_cell_angle_gamma 90.00
_space_group_name_H-M_alt 'P m -3 m'
_space_group_IT_number 221
_space_group_name_Hall '-P 4 2 3'
loop_
_atom_site_label
_atom_site_fract_x
_atom_site_fract_y
_atom_site_fract_z
K1 0.000 0.000 0.500
Hf1 0.500 0.500 0.500
As1 0.000 0.000 0.000
# volume = 255 Å³ per cell

***

Run ii
# K3HfAs PBE-GGA optimized geometry
data_K3HfAs
_cell_length_a 6.507
_cell_length_b 6.507
_cell_length_c 6.507
_cell_angle_alpha 90.00
_cell_angle_beta 90.00
_cell_angle_gamma 90.00
_space_group_name_H-M_alt 'P m -3 m'
_space_group_IT_number 221
_space_group_name_Hall '-P 4 2 3'
loop_
_atom_site_label
_atom_site_fract_x
_atom_site_fract_y
_atom_site_fract_z
K1 0.000 0.000 0.500
Hf1 0.000 0.000 0.000
As1 0.500 0.500 0.500
# volume = 276 Å³ per cell

***

Pick run i: it beats the second-best structure by 491 meV/atom.

***

Run i
# KHfAs3 PBE-GGA optimized geometry
data_KHfAs3
_cell_length_a 5.219
_cell_length_b 5.219
_cell_length_c 5.219
_cell_angle_alpha 90.00
_cell_angle_beta 90.00
_cell_angle_gamma 90.00
_space_group_name_H-M_alt 'P m -3 m'
_space_group_IT_number 221
_space_group_name_Hall '-P 4 2 3'
loop_
_atom_site_label
_atom_site_fract_x
_atom_site_fract_y
_atom_site_fract_z
K1 0.000 0.000 0.000
Hf1 0.500 0.500 0.500
As1 0.000 0.500 0.500
# volume = 142 Å³ per cell

***

Run ii
# KHfAs3 PBE-GGA optimized geometry
data_KHfAs3
_cell_length_a 5.112
_cell_length_b 5.112
_cell_length_c 5.112
_cell_angle_alpha 90.00
_cell_angle_beta 90.00
_cell_angle_gamma 90.00
_space_group_name_H-M_alt 'P m -3 m'
_space_group_IT_number 221
_space_group_name_Hall '-P 4 2 3'
loop_
_atom_site_label
_atom_site_fract_x
_atom_site_fract_y
_atom_site_fract_z
K1 0.000 0.000 0.000
Hf1 0.500 0.500 0.500
As1 0.000 0.000 0.500
# volume = 134 Å³ per cell

***

Pick run i: it beats the second-best structure by 1834 meV/atom.